1.
Computed, not measured: an optimized crystal structure of ScNbSe2 at the PBE level of DFT.

Computed properties:
V, Å³/f.u.: 106.5
DOS(E_F), states/eV per cell: 6.3
Space group: I-42d
Theoretical density, g/cm³: 4.61
Offset from the most stable computed form, meV/atom: 352
Formation energy (no corrections), eV per formula unit: -2.303

a = 7.416 Å, b = 7.416 Å, c = 7.416 Å
α = 133.19°, β = 133.19°, γ = 68.36°
Positions (direct):
Sc: 0.000 0.000 0.000
Sc: 0.750 0.250 0.500
Nb: 0.250 0.750 0.500
Nb: 0.500 0.500 0.000
Se: 0.132 0.625 0.007
Se: 0.375 0.382 0.507
Se: 0.618 0.125 0.993
Se: 0.875 0.868 0.493

2.
Computed, not measured: an optimized crystal structure of FeNiRu2 at the PBE level of DFT.

Computed properties:
V, Å³/f.u.: 52.7
DOS(E_F), states/eV per cell: 4.9
Space group: Cmm2
Theoretical density, g/cm³: 9.98
Energy of formation, eV per atom: 0.32

a = 2.612 Å, b = 2.612 Å, c = 8.601 Å
α = 90.00°, β = 90.00°, γ = 116.12°
Positions (direct):
Fe: 0.000 0.000 0.000
Ni: 0.500 0.500 0.231
Ru: 0.000 0.000 0.484
Ru: 0.500 0.500 0.749

3.
Computed, not measured: an optimized crystal structure of ZnInN2 at the PBE level of DFT.

Computed properties:
V, Å³/f.u.: 56.5
DOS(E_F), states/eV per cell: 6.4
Space group: I-42d
Theoretical density, g/cm³: 6.12
Formation energy (no corrections), eV per formula unit: 1.566

a = 5.918 Å, b = 5.918 Å, c = 5.918 Å
α = 131.76°, β = 131.76°, γ = 70.60°
Positions (direct):
Zn: 0.000 0.000 0.000
Zn: 0.750 0.250 0.500
In: 0.250 0.750 0.500
In: 0.500 0.500 0.000
N: 0.099 0.625 0.974
N: 0.375 0.349 0.474
N: 0.651 0.125 0.026
N: 0.875 0.901 0.526

4.
Computed, not measured: an optimized crystal structure of Ti3Ga at the PBE level of DFT.

Computed properties:
V, Å³/f.u.: 64.9
DOS(E_F), states/eV per cell: 4.3
Space group: Pm-3m
Theoretical density, g/cm³: 5.46
Energy of formation, eV per atom: -0.31

a = 4.019 Å, b = 4.019 Å, c = 4.019 Å
α = 90.00°, β = 90.00°, γ = 90.00°
Positions (direct):
Ti: 0.000 0.000 0.500
Ti: 0.000 0.500 0.000
Ti: 0.500 0.000 0.000
Ga: 0.500 0.500 0.500

5.
Computed, not measured: an optimized crystal structure of KMg2TcCl at the PBE level of DFT.

Computed properties:
V, Å³/f.u.: 212.3
DOS(E_F), states/eV per cell: 3.2
Space group: P4/mmm
Theoretical density, g/cm³: 1.73
Formation energy (no corrections), eV per formula unit: 5.804

a = 6.304 Å, b = 6.304 Å, c = 5.342 Å
α = 90.00°, β = 90.00°, γ = 90.00°
Positions (direct):
K: 0.000 0.000 0.000
Mg: 0.000 0.500 0.000
Mg: 0.500 0.000 0.000
Tc: 0.500 0.500 0.500
Cl: 0.000 0.000 0.500

6.
Computed, not measured: an optimized crystal structure of Ac2SnAsRh6 at the PBE level of DFT.

Computed properties:
V, Å³/f.u.: 210.5
DOS(E_F), states/eV per cell: 6.1
Space group: P-1
Theoretical density, g/cm³: 9.98
Energy of formation, eV per atom: -0.56

a = 5.654 Å, b = 6.567 Å, c = 6.834 Å
α = 79.13°, β = 65.80°, γ = 65.49°
Positions (direct):
Ac: 0.242 0.212 0.289
Ac: 0.758 0.788 0.711
Sn: 0.500 0.500 0.500
As: 0.000 0.000 0.000
Rh: 0.208 0.583 0.920
Rh: 0.260 0.224 0.750
Rh: 0.276 0.746 0.216
Rh: 0.724 0.254 0.784
Rh: 0.740 0.776 0.250
Rh: 0.792 0.417 0.080

7.
Computed, not measured: an optimized crystal structure of VCrSnMo at the PBE level of DFT.

Computed properties:
V, Å³/f.u.: 62.7
DOS(E_F), states/eV per cell: 2.1
Space group: F-43m
Theoretical density, g/cm³: 8.40
Energy of formation, eV per atom: 0.14

a = 4.460 Å, b = 4.460 Å, c = 4.460 Å
α = 60.00°, β = 60.00°, γ = 60.00°
Positions (direct):
V: 0.000 0.000 0.000
Cr: 0.500 0.500 0.500
Sn: 0.750 0.750 0.750
Mo: 0.250 0.250 0.250

8.
Computed, not measured: an optimized crystal structure of BaP2Au at the PBE level of DFT.

Computed properties:
V, Å³/f.u.: 96.6
DOS(E_F), states/eV per cell: 2.4
Space group: R-3m
Theoretical density, g/cm³: 6.81
Energy of formation, eV per atom: -0.32
Offset from the most stable computed form, meV/atom: 259

a = 6.115 Å, b = 6.115 Å, c = 6.115 Å
α = 43.06°, β = 43.06°, γ = 43.06°
Positions (direct):
Ba: 0.000 0.000 0.000
P: 0.199 0.199 0.199
P: 0.801 0.801 0.801
Au: 0.500 0.500 0.500

9.
Computed, not measured: an optimized crystal structure of TbThZr2 at the PBE level of DFT.

Computed properties:
V, Å³/f.u.: 108.2
DOS(E_F), states/eV per cell: 5.0
Space group: P4/mmm
Theoretical density, g/cm³: 8.80
Energy of formation, eV per atom: 0.11
Offset from the most stable computed form, meV/atom: 0

a = 4.782 Å, b = 4.782 Å, c = 4.730 Å
α = 90.00°, β = 90.00°, γ = 90.00°
Positions (direct):
Tb: 0.000 0.000 0.000
Th: 0.500 0.500 0.000
Zr: 0.000 0.500 0.500
Zr: 0.500 0.000 0.500

10.
Computed, not measured: an optimized crystal structure of NiMo2Se at the PBE level of DFT.

Computed properties:
V, Å³/f.u.: 57.8
DOS(E_F), states/eV per cell: 3.5
Space group: Imm2
Theoretical density, g/cm³: 9.46
Formation energy (no corrections), eV per formula unit: 0.645

a = 5.063 Å, b = 5.063 Å, c = 5.063 Å
α = 144.76°, β = 128.65°, γ = 63.81°
Positions (direct):
Ni: 0.000 0.000 0.000
Mo: 0.455 0.455 0.000
Mo: 0.737 0.237 0.500
Se: 0.215 0.715 0.500

11.
Computed, not measured: an optimized crystal structure of PuRhS at the PBE level of DFT.

Computed properties:
V, Å³/f.u.: 68.8
DOS(E_F), states/eV per cell: 15.3
Space group: R-3m
Theoretical density, g/cm³: 9.14
Formation energy (no corrections), eV per formula unit: -2.089

a = 8.500 Å, b = 8.500 Å, c = 8.500 Å
α = 30.20°, β = 30.20°, γ = 30.20°
Positions (direct):
Pu: 0.238 0.238 0.238
Pu: 0.762 0.762 0.762
Rh: 0.346 0.346 0.346
Rh: 0.654 0.654 0.654
S: 0.123 0.123 0.123
S: 0.877 0.877 0.877

12.
Computed, not measured: an optimized crystal structure of K2MoAs at the PBE level of DFT.

Computed properties:
V, Å³/f.u.: 94.9
DOS(E_F), states/eV per cell: 3.2
Space group: P2/m
Theoretical density, g/cm³: 4.36
Energy of formation, eV per atom: 0.84

a = 3.106 Å, b = 5.812 Å, c = 5.326 Å
α = 90.00°, β = 99.16°, γ = 90.00°
Positions (direct):
K: 0.127 0.000 0.260
K: 0.873 0.000 0.740
Mo: 0.500 0.500 0.000
As: 0.500 0.500 0.500